[1]
# AsOsBr2, optimized geometry, DFT PBE
data_AsOsBr2
_chemical_formula_sum 'As2 Os2 Br4'
_cell_length_a 15.514
_cell_length_b 3.101
_cell_length_c 4.393
_cell_angle_alpha 90.00
_cell_angle_beta 106.03
_cell_angle_gamma 90.00
_symmetry_space_group_name_H-M 'P 1'
_symmetry_Int_Tables_number 1
loop_
_symmetry_equiv_pos_as_xyz
'x,y,z'
loop_
_atom_site_label
_atom_site_fract_x
_atom_site_fract_y
_atom_site_fract_z
As1 0.000 0.000 0.000
As2 0.500 0.500 0.000
Os1 0.000 0.500 0.500
Os2 0.500 0.000 0.500
Br1 0.143 0.000 0.640
Br2 0.357 0.500 0.360
Br3 0.643 0.500 0.640
Br4 0.857 0.000 0.360
# Space-group type ... C2/m (12)
# Calculated density ... 6.95 Mg/m³
# E ... -34.386 eV/cell


[2]
# Ca2HgH2, optimized geometry, DFT PBE
data_Ca2HgH2
_chemical_formula_sum 'Ca4 Hg2 H4'
_cell_length_a 3.833
_cell_length_b 3.833
_cell_length_c 12.707
_cell_angle_alpha 90.00
_cell_angle_beta 90.00
_cell_angle_gamma 90.00
_symmetry_space_group_name_H-M 'P 1'
_symmetry_Int_Tables_number 1
loop_
_symmetry_equiv_pos_as_xyz
'x,y,z'
loop_
_atom_site_label
_atom_site_fract_x
_atom_site_fract_y
_atom_site_fract_z
Ca1 0.000 0.000 0.152
Ca2 0.000 0.000 0.848
Ca3 0.500 0.500 0.348
Ca4 0.500 0.500 0.652
Hg1 0.000 0.000 0.500
Hg2 0.500 0.500 0.000
H1 0.000 0.500 0.250
H2 0.000 0.500 0.750
H3 0.500 0.000 0.250
H4 0.500 0.000 0.750
# Space-group type ... I4/mmm (139)
# Calculated density ... 5.03 Mg/m³
# E ... -27.359 eV/cell


[3]
# In2MoAs, optimized geometry, DFT PBE
data_In2MoAs
_chemical_formula_sum 'In4 Mo2 As2'
_cell_length_a 4.240
_cell_length_b 4.240
_cell_length_c 8.909
_cell_angle_alpha 90.00
_cell_angle_beta 90.00
_cell_angle_gamma 90.00
_symmetry_space_group_name_H-M 'P 1'
_symmetry_Int_Tables_number 1
loop_
_symmetry_equiv_pos_as_xyz
'x,y,z'
loop_
_atom_site_label
_atom_site_fract_x
_atom_site_fract_y
_atom_site_fract_z
In1 0.000 0.000 0.000
In2 0.000 0.500 0.250
In3 0.500 0.000 0.750
In4 0.500 0.500 0.500
Mo1 0.000 0.500 0.750
Mo2 0.500 0.000 0.250
As1 0.000 0.000 0.500
As2 0.500 0.500 0.000
# Space-group type ... I-4m2 (119)
# Energy of formation ... 0.43 eV per atom
# Calculated density ... 8.30 Mg/m³


[4]
# La2Au, optimized geometry, DFT PBE
data_La2Au
_chemical_formula_sum 'La8 Au4'
_cell_length_a 3.838
_cell_length_b 17.138
_cell_length_c 5.557
_cell_angle_alpha 90.00
_cell_angle_beta 90.00
_cell_angle_gamma 90.00
_symmetry_space_group_name_H-M 'P 1'
_symmetry_Int_Tables_number 1
loop_
_symmetry_equiv_pos_as_xyz
'x,y,z'
loop_
_atom_site_label
_atom_site_fract_x
_atom_site_fract_y
_atom_site_fract_z
La1 0.000 0.072 0.250
La2 0.000 0.225 0.750
La3 0.000 0.775 0.250
La4 0.000 0.928 0.750
La5 0.500 0.275 0.250
La6 0.500 0.428 0.750
La7 0.500 0.572 0.250
La8 0.500 0.725 0.750
Au1 0.000 0.418 0.250
Au2 0.000 0.582 0.750
Au3 0.500 0.082 0.750
Au4 0.500 0.918 0.250
# Space-group type ... Cmcm (63)
# Energy of formation ... -0.50 eV per atom
# Calculated density ... 8.63 Mg/m³


[5]
# Pm2TmRu2, optimized geometry, DFT PBE
data_Pm2TmRu2
_chemical_formula_sum 'Pm4 Tm2 Ru4'
_cell_length_a 6.129
_cell_length_b 6.129
_cell_length_c 9.980
_cell_angle_alpha 90.00
_cell_angle_beta 90.00
_cell_angle_gamma 139.43
_symmetry_space_group_name_H-M 'P 1'
_symmetry_Int_Tables_number 1
loop_
_symmetry_equiv_pos_as_xyz
'x,y,z'
loop_
_atom_site_label
_atom_site_fract_x
_atom_site_fract_y
_atom_site_fract_z
Pm1 0.095 0.905 0.500
Pm2 0.353 0.647 0.686
Pm3 0.647 0.353 0.186
Pm4 0.905 0.095 0.000
Tm1 0.355 0.645 0.316
Tm2 0.645 0.355 0.816
Ru1 0.006 0.994 0.753
Ru2 0.190 0.810 0.992
Ru3 0.810 0.190 0.492
Ru4 0.994 0.006 0.253
# Space-group type ... Cmc2_1 (36)
# Energy of formation ... -0.21 eV per atom
# Calculated density ... 9.00 Mg/m³


[6]
# NaInGeAu3, optimized geometry, DFT PBE
data_NaInGeAu3
_chemical_formula_sum 'Na2 In2 Ge2 Au6'
_cell_length_a 7.357
_cell_length_b 7.357
_cell_length_c 8.742
_cell_angle_alpha 90.00
_cell_angle_beta 90.00
_cell_angle_gamma 134.93
_symmetry_space_group_name_H-M 'P 1'
_symmetry_Int_Tables_number 1
loop_
_symmetry_equiv_pos_as_xyz
'x,y,z'
loop_
_atom_site_label
_atom_site_fract_x
_atom_site_fract_y
_atom_site_fract_z
Na1 0.160 0.840 0.750
Na2 0.840 0.160 0.250
In1 0.090 0.910 0.250
In2 0.910 0.090 0.750
Ge1 0.471 0.529 0.250
Ge2 0.529 0.471 0.750
Au1 0.248 0.248 0.000
Au2 0.248 0.248 0.500
Au3 0.286 0.714 0.250
Au4 0.714 0.286 0.750
Au5 0.752 0.752 0.000
Au6 0.752 0.752 0.500
# Space-group type ... Cmcm (63)
# Energy of formation ... -0.12 eV per atom
# Calculated density ... 7.94 Mg/m³


[7]
# Ba2PdRhO6, optimized geometry, DFT PBE
data_Ba2PdRhO6
_chemical_formula_sum 'Ba4 Pd2 Rh2 O12'
_cell_length_a 10.429
_cell_length_b 10.429
_cell_length_c 10.429
_cell_angle_alpha 32.59
_cell_angle_beta 32.59
_cell_angle_gamma 32.59
_symmetry_space_group_name_H-M 'P 1'
_symmetry_Int_Tables_number 1
loop_
_symmetry_equiv_pos_as_xyz
'x,y,z'
loop_
_atom_site_label
_atom_site_fract_x
_atom_site_fract_y
_atom_site_fract_z
Ba1 0.123 0.123 0.123
Ba2 0.286 0.286 0.286
Ba3 0.714 0.714 0.714
Ba4 0.877 0.877 0.877
Pd1 0.408 0.408 0.408
Pd2 0.592 0.592 0.592
Rh1 0.000 0.000 0.000
Rh2 0.500 0.500 0.500
O1 0.152 0.606 0.606
O2 0.197 0.197 0.732
O3 0.197 0.732 0.197
O4 0.268 0.803 0.803
O5 0.394 0.394 0.848
O6 0.394 0.848 0.394
O7 0.606 0.152 0.606
O8 0.606 0.606 0.152
O9 0.732 0.197 0.197
O10 0.803 0.268 0.803
O11 0.803 0.803 0.268
O12 0.848 0.394 0.394
# Space-group type ... R-3m (166)
# Calculated density ... 6.58 Mg/m³
# E ... -121.037 eV/cell


[8]
# K2BaTc, optimized geometry, DFT PBE
data_K2BaTc
_chemical_formula_sum 'K8 Ba4 Tc4'
_cell_length_a 8.704
_cell_length_b 8.704
_cell_length_c 8.704
_cell_angle_alpha 90.00
_cell_angle_beta 90.00
_cell_angle_gamma 90.00
_symmetry_space_group_name_H-M 'P 1'
_symmetry_Int_Tables_number 1
loop_
_symmetry_equiv_pos_as_xyz
'x,y,z'
loop_
_atom_site_label
_atom_site_fract_x
_atom_site_fract_y
_atom_site_fract_z
K1 0.250 0.250 0.250
K2 0.250 0.250 0.750
K3 0.250 0.750 0.250
K4 0.250 0.750 0.750
K5 0.750 0.250 0.250
K6 0.750 0.250 0.750
K7 0.750 0.750 0.250
K8 0.750 0.750 0.750
Ba1 0.000 0.000 0.000
Ba2 0.000 0.500 0.500
Ba3 0.500 0.000 0.500
Ba4 0.500 0.500 0.000
Tc1 0.000 0.000 0.500
Tc2 0.000 0.500 0.000
Tc3 0.500 0.000 0.000
Tc4 0.500 0.500 0.500
# Space-group type ... Fm-3m (225)
# Energy of formation ... 1.18 eV per atom
# Calculated density ... 3.16 Mg/m³


[9]
# Zr2CSe, optimized geometry, DFT PBE
data_Zr2CSe
_chemical_formula_sum 'Zr6 C3 Se3'
_cell_length_a 3.503
_cell_length_b 3.503
_cell_length_c 19.066
_cell_angle_alpha 90.00
_cell_angle_beta 90.00
_cell_angle_gamma 120.00
_symmetry_space_group_name_H-M 'P 1'
_symmetry_Int_Tables_number 1
loop_
_symmetry_equiv_pos_as_xyz
'x,y,z'
loop_
_atom_site_label
_atom_site_fract_x
_atom_site_fract_y
_atom_site_fract_z
Zr1 0.000 0.000 0.229
Zr2 0.000 0.000 0.771
Zr3 0.333 0.667 0.438
Zr4 0.333 0.667 0.896
Zr5 0.667 0.333 0.104
Zr6 0.667 0.333 0.562
C1 0.000 0.000 0.500
C2 0.333 0.667 0.167
C3 0.667 0.333 0.833
Se1 0.000 0.000 0.000
Se2 0.333 0.667 0.667
Se3 0.667 0.333 0.333
# Space-group type ... R-3m (166)
# Calculated density ... 6.72 Mg/m³
# E ... -102.837 eV/cell


[10]
# ErThSeS, optimized geometry, DFT PBE
data_ErThSeS
_chemical_formula_sum 'Er3 Th3 Se3 S3'
_cell_length_a 3.897
_cell_length_b 3.897
_cell_length_c 21.618
_cell_angle_alpha 90.00
_cell_angle_beta 90.00
_cell_angle_gamma 120.00
_symmetry_space_group_name_H-M 'P 1'
_symmetry_Int_Tables_number 1
loop_
_symmetry_equiv_pos_as_xyz
'x,y,z'
loop_
_atom_site_label
_atom_site_fract_x
_atom_site_fract_y
_atom_site_fract_z
Er1 0.000 0.000 0.000
Er2 0.333 0.667 0.667
Er3 0.667 0.333 0.333
Th1 0.000 0.000 0.819
Th2 0.333 0.667 0.485
Th3 0.667 0.333 0.152
Se1 0.000 0.000 0.583
Se2 0.333 0.667 0.249
Se3 0.667 0.333 0.916
S1 0.000 0.000 0.403
S2 0.333 0.667 0.069
S3 0.667 0.333 0.736
# Space-group type ... R3m (160)
# Calculated density ... 8.94 Mg/m³
# E ... -79.344 eV/cell


[11]
# MnV2Si, optimized geometry, DFT PBE
data_MnV2Si
_chemical_formula_sum 'Mn1 V2 Si1'
_cell_length_a 3.630
_cell_length_b 3.630
_cell_length_c 3.806
_cell_angle_alpha 90.00
_cell_angle_beta 90.00
_cell_angle_gamma 90.00
_symmetry_space_group_name_H-M 'P 1'
_symmetry_Int_Tables_number 1
loop_
_symmetry_equiv_pos_as_xyz
'x,y,z'
loop_
_atom_site_label
_atom_site_fract_x
_atom_site_fract_y
_atom_site_fract_z
Mn1 0.000 0.000 0.000
V1 0.000 0.500 0.500
V2 0.500 0.000 0.500
Si1 0.500 0.500 0.000
# Space-group type ... P4/mmm (123)
# Calculated density ... 6.12 Mg/m³
# E ... -34.139 eV/cell


[12]
# Ir3PbC, optimized geometry, DFT PBE
data_Ir3PbC
_chemical_formula_sum 'Ir3 Pb1 C1'
_cell_length_a 5.019
_cell_length_b 5.019
_cell_length_c 5.019
_cell_angle_alpha 90.00
_cell_angle_beta 90.00
_cell_angle_gamma 90.00
_symmetry_space_group_name_H-M 'P 1'
_symmetry_Int_Tables_number 1
loop_
_symmetry_equiv_pos_as_xyz
'x,y,z'
loop_
_atom_site_label
_atom_site_fract_x
_atom_site_fract_y
_atom_site_fract_z
Ir1 0.000 0.000 0.500
Ir2 0.000 0.500 0.000
Ir3 0.500 0.000 0.000
Pb1 0.000 0.000 0.000
C1 0.500 0.500 0.500
# Space-group type ... Pm-3m (221)
# Energy of formation ... 3.66 eV per atom
# Calculated density ... 10.45 Mg/m³